No. 1
# DyGa3Si | Alexandria via LeMat-Bulk | PBE | optimized geometry
data_DyGa3Si
_chemical_formula_sum 'Dy2 Ga6 Si2'
_symmetry_space_group_name_H-M 'P 1'
_symmetry_Int_Tables_number 1
_cell_length_a 4.3354
_cell_length_b 7.8085
_cell_length_c 7.2592
_cell_angle_alpha 90.00
_cell_angle_beta 90.00
_cell_angle_gamma 90.00
loop_
_symmetry_equiv_pos_as_xyz
'x,y,z'
loop_
_atom_site_label
_atom_site_fract_x
_atom_site_fract_y
_atom_site_fract_z
_atom_site_occupancy
Ga1 0.5000 0.9226 0.3499 1
Ga2 0.5000 0.4226 0.6501 1
Ga3 0.5000 0.0000 0.0000 1
Ga4 0.5000 0.5774 0.3499 1
Ga5 0.5000 0.5000 0.0000 1
Ga6 0.5000 0.0774 0.6501 1
Dy1 0.0000 0.7500 0.0738 1
Dy2 0.0000 0.2500 0.9262 1
Si1 0.5000 0.7500 0.7780 1
Si2 0.5000 0.2500 0.2220 1
# - E_form (uncorrected) (eV/atom) = 0.078



No. 2
# Y6Ti4Al43 | Alexandria via LeMat-Bulk | PBE | optimized geometry
data_Y6Ti4Al43
_chemical_formula_sum 'Y12 Ti8 Al86'
_symmetry_space_group_name_H-M 'P 1'
_symmetry_Int_Tables_number 1
_cell_length_a 11.0892
_cell_length_b 11.0892
_cell_length_c 17.7970
_cell_angle_alpha 90.00
_cell_angle_beta 90.00
_cell_angle_gamma 120.00
loop_
_symmetry_equiv_pos_as_xyz
'x,y,z'
loop_
_atom_site_label
_atom_site_fract_x
_atom_site_fract_y
_atom_site_fract_z
_atom_site_occupancy
Al1 0.0000 0.2526 0.0286 1
Al2 0.6667 0.3333 0.1255 1
Al3 0.8442 0.0000 0.3837 1
Al4 0.1597 0.3936 0.1635 1
Al5 0.1558 0.0000 0.8837 1
Al6 0.2526 0.2526 0.5286 1
Al7 0.0000 0.1558 0.8837 1
Al8 0.7531 0.5062 0.0000 1
Al9 0.4938 0.2469 0.5000 1
Al10 0.2526 0.2526 0.9714 1
Al11 0.0000 0.8530 0.7500 1
Al12 0.2469 0.7531 0.5000 1
Al13 0.3333 0.6667 0.3745 1
Al14 0.6064 0.8403 0.6635 1
Al15 0.8530 0.8530 0.2500 1
Al16 0.1597 0.7661 0.8365 1
Al17 0.1558 0.1558 0.1163 1
Al18 0.1558 0.0000 0.6163 1
Al19 0.0000 0.1558 0.6163 1
Al20 0.3936 0.2339 0.6635 1
Al21 0.2526 0.0000 0.4714 1
Al22 0.5532 0.1489 0.7500 1
Al23 0.3936 0.1597 0.3365 1
Al24 0.2339 0.3936 0.8365 1
Al25 0.8403 0.2339 0.1635 1
Al26 0.6064 0.7661 0.1635 1
Al27 0.2526 0.0000 0.0286 1
Al28 0.0000 0.2526 0.4714 1
Al29 0.1597 0.3936 0.3365 1
Al30 0.5062 0.7531 0.0000 1
Al31 0.1597 0.7661 0.6635 1
Al32 0.8511 0.4043 0.7500 1
Al33 0.2339 0.8403 0.3365 1
Al34 0.4468 0.5957 0.7500 1
Al35 0.7661 0.6064 0.3365 1
Al36 0.1470 0.1470 0.7500 1
Al37 0.7474 0.0000 0.5286 1
Al38 0.2469 0.7531 0.0000 1
Al39 0.3936 0.1597 0.1635 1
Al40 0.7661 0.1597 0.6635 1
Al41 0.0000 0.7474 0.5286 1
Al42 0.2339 0.8403 0.1635 1
Al43 0.5957 0.1489 0.2500 1
Al44 0.7474 0.0000 0.9714 1
Al45 0.8442 0.8442 0.8837 1
Al46 0.2339 0.3936 0.6635 1
Al47 0.8442 0.0000 0.1163 1
Al48 0.0000 0.8442 0.3837 1
Al49 0.2469 0.4938 0.5000 1
Al50 0.1489 0.5532 0.7500 1
Al51 0.8442 0.8442 0.6163 1
Al52 0.7531 0.2469 0.0000 1
Al53 0.6667 0.3333 0.3745 1
Al54 0.3333 0.6667 0.8745 1
Al55 0.7531 0.5062 0.5000 1
Al56 0.1558 0.1558 0.3837 1
Al57 0.8511 0.4468 0.2500 1
Al58 0.7661 0.6064 0.1635 1
Al59 0.6064 0.8403 0.8365 1
Al60 0.7474 0.7474 0.4714 1
Al61 0.5957 0.4468 0.7500 1
Al62 0.4468 0.8511 0.2500 1
Al63 0.4043 0.8511 0.7500 1
Al64 0.8403 0.2339 0.3365 1
Al65 0.6667 0.3333 0.8745 1
Al66 0.2469 0.4938 0.0000 1
Al67 0.5062 0.7531 0.5000 1
Al68 0.3936 0.2339 0.8365 1
Al69 0.5532 0.4043 0.2500 1
Al70 0.6667 0.3333 0.6255 1
Al71 0.3333 0.6667 0.1255 1
Al72 0.3333 0.6667 0.6255 1
Al73 0.8403 0.6064 0.6635 1
Al74 0.4043 0.5532 0.2500 1
Al75 0.7531 0.2469 0.5000 1
Al76 0.0000 0.7474 0.9714 1
Al77 0.8530 0.0000 0.7500 1
Al78 0.8403 0.6064 0.8365 1
Al79 0.4938 0.2469 0.0000 1
Al80 0.0000 0.8442 0.1163 1
Al81 0.6064 0.7661 0.3365 1
Al82 0.0000 0.1470 0.2500 1
Al83 0.7474 0.7474 0.0286 1
Al84 0.1489 0.5957 0.2500 1
Al85 0.1470 0.0000 0.2500 1
Al86 0.7661 0.1597 0.8365 1
Y1 0.0000 0.5285 0.0964 1
Y2 0.5285 0.0000 0.4036 1
Y3 0.0000 0.4715 0.5964 1
Y4 0.5285 0.5285 0.9036 1
Y5 0.4715 0.0000 0.5964 1
Y6 0.4715 0.4715 0.0964 1
Y7 0.0000 0.5285 0.4036 1
Y8 0.5285 0.5285 0.5964 1
Y9 0.4715 0.0000 0.9036 1
Y10 0.0000 0.4715 0.9036 1
Y11 0.5285 0.0000 0.0964 1
Y12 0.4715 0.4715 0.4036 1
Ti1 0.2720 0.2720 0.2500 1
Ti2 0.0000 0.0000 0.5000 1
Ti3 0.7280 0.7280 0.7500 1
Ti4 0.7280 0.0000 0.2500 1
Ti5 0.0000 0.2720 0.7500 1
Ti6 0.0000 0.7280 0.2500 1
Ti7 0.2720 0.0000 0.7500 1
Ti8 0.0000 0.0000 0.0000 1
# - E_form (eV/atom) = -0.3429



No. 3
# Ho8Ir3Au2 | Alexandria via LeMat-Bulk | PBE | optimized geometry
data_Ho8Ir3Au2
_chemical_formula_sum 'Ho8 Ir3 Au2'
_symmetry_space_group_name_H-M 'P 1'
_symmetry_Int_Tables_number 1
_cell_length_a 4.8396
_cell_length_b 9.7841
_cell_length_c 8.5193
_cell_angle_alpha 124.97
_cell_angle_beta 90.00
_cell_angle_gamma 90.00
loop_
_symmetry_equiv_pos_as_xyz
'x,y,z'
loop_
_atom_site_label
_atom_site_fract_x
_atom_site_fract_y
_atom_site_fract_z
_atom_site_occupancy
Ho1 0.5000 0.6343 0.7629 1
Ho2 0.5000 0.3657 0.2371 1
Ho3 0.0000 0.8804 0.7610 1
Ho4 0.0000 0.6169 0.2336 1
Ho5 0.0000 0.3831 0.7664 1
Ho6 0.0000 0.1196 0.2390 1
Ho7 0.5000 0.1287 0.7633 1
Ho8 0.5000 0.8713 0.2367 1
Au1 0.5000 0.2569 0.5140 1
Au2 0.5000 0.7431 0.4860 1
Ir1 0.0000 0.7478 0.9996 1
Ir2 0.0000 0.2522 0.0004 1
Ir3 0.5000 0.0000 0.0000 1
# - E_form (eV/atom) = -0.6969



No. 4
# Nb3Ru8 | Alexandria via LeMat-Bulk | PBE | optimized geometry
data_Nb3Ru8
_chemical_formula_sum 'Nb3 Ru8'
_symmetry_space_group_name_H-M 'P 1'
_symmetry_Int_Tables_number 1
_cell_length_a 6.7719
_cell_length_b 6.8322
_cell_length_c 4.8911
_cell_angle_alpha 84.91
_cell_angle_beta 113.99
_cell_angle_gamma 122.48
loop_
_symmetry_equiv_pos_as_xyz
'x,y,z'
loop_
_atom_site_label
_atom_site_fract_x
_atom_site_fract_y
_atom_site_fract_z
_atom_site_occupancy
Ru1 0.0001 0.1613 0.8266 1
Ru2 0.7339 0.0181 0.1703 1
Ru3 0.7509 0.3756 0.8754 1
Ru4 0.7332 0.7153 0.5630 1
Ru5 0.9999 0.8387 0.1734 1
Ru6 0.2661 0.9819 0.8297 1
Ru7 0.2668 0.2847 0.4370 1
Ru8 0.2491 0.6244 0.1246 1
Nb1 0.0000 0.5000 0.5000 1
Nb2 0.5000 0.5000 0.0000 1
Nb3 0.5000 0.0000 0.5000 1
# - E_form (eV/atom) = 0.0528



No. 5
# LiWSeN2 | Alexandria via LeMat-Bulk | PBE | optimized geometry
data_LiWSeN2
_chemical_formula_sum 'Li1 W1 Se1 N2'
_symmetry_space_group_name_H-M 'P 1'
_symmetry_Int_Tables_number 1
_cell_length_a 3.6930
_cell_length_b 3.6930
_cell_length_c 4.3413
_cell_angle_alpha 90.00
_cell_angle_beta 90.00
_cell_angle_gamma 90.00
loop_
_symmetry_equiv_pos_as_xyz
'x,y,z'
loop_
_atom_site_label
_atom_site_fract_x
_atom_site_fract_y
_atom_site_fract_z
_atom_site_occupancy
N1 0.0000 0.5000 0.0000 1
N2 0.5000 0.0000 0.0000 1
W1 0.5000 0.5000 0.5000 1
Li1 0.0000 0.0000 0.0000 1
Se1 0.0000 0.0000 0.5000 1
# - relative energy among the computed polymorphs (meV per atom) = 1852
# - E_form (uncorrected) (eV/atom) = 1.802



No. 6
# USiAg | Alexandria via LeMat-Bulk | PBE | optimized geometry
data_USiAg
_chemical_formula_sum 'U2 Si2 Ag2'
_symmetry_space_group_name_H-M 'P 1'
_symmetry_Int_Tables_number 1
_cell_length_a 5.7409
_cell_length_b 4.5542
_cell_length_c 6.8097
_cell_angle_alpha 74.59
_cell_angle_beta 65.07
_cell_angle_gamma 50.93
loop_
_symmetry_equiv_pos_as_xyz
'x,y,z'
loop_
_atom_site_label
_atom_site_fract_x
_atom_site_fract_y
_atom_site_fract_z
_atom_site_occupancy
U1 0.7500 0.5000 0.5000 1
U2 0.2500 0.5000 0.5000 1
Si1 0.6055 0.0000 0.7891 1
Si2 0.3945 0.0000 0.2109 1
Ag1 0.1875 0.6249 0.0000 1
Ag2 0.8125 0.3751 0.0000 1
# - E_form (uncorrected) (eV/atom) = 0.328



No. 7
# NaDy2HoS4 | Alexandria via LeMat-Bulk | PBE | optimized geometry
data_NaDy2HoS4
_chemical_formula_sum 'Na1 Dy2 Ho1 S4'
_symmetry_space_group_name_H-M 'P 1'
_symmetry_Int_Tables_number 1
_cell_length_a 3.9004
_cell_length_b 6.8045
_cell_length_c 6.8060
_cell_angle_alpha 70.90
_cell_angle_beta 90.00
_cell_angle_gamma 90.00
loop_
_symmetry_equiv_pos_as_xyz
'x,y,z'
loop_
_atom_site_label
_atom_site_fract_x
_atom_site_fract_y
_atom_site_fract_z
_atom_site_occupancy
Dy1 0.0000 0.0000 0.0000 1
Dy2 0.5000 0.0000 0.5000 1
S1 0.5000 0.7492 0.2518 1
S2 0.0000 0.2457 0.2556 1
S3 0.0000 0.7543 0.7444 1
S4 0.5000 0.2508 0.7482 1
Na1 0.5000 0.5000 0.0000 1
Ho1 0.0000 0.5000 0.5000 1
# - E_form (uncorrected) (eV/atom) = -1.915



No. 8
# K2HgRuCl | Alexandria via LeMat-Bulk | PBE | optimized geometry
data_K2HgRuCl
_chemical_formula_sum 'K2 Hg1 Ru1 Cl1'
_symmetry_space_group_name_H-M 'P 1'
_symmetry_Int_Tables_number 1
_cell_length_a 5.8395
_cell_length_b 6.3082
_cell_length_c 5.8395
_cell_angle_alpha 90.00
_cell_angle_beta 90.00
_cell_angle_gamma 90.00
loop_
_symmetry_equiv_pos_as_xyz
'x,y,z'
loop_
_atom_site_label
_atom_site_fract_x
_atom_site_fract_y
_atom_site_fract_z
_atom_site_occupancy
Cl1 0.0000 0.0000 0.0000 1
Ru1 0.5000 0.5000 0.5000 1
Hg1 0.0000 0.5000 0.0000 1
K1 0.5000 0.0000 0.0000 1
K2 0.0000 0.0000 0.5000 1
# - E_form (uncorrected) (eV/atom) = 0.370



No. 9
# Cu2TcNi | Alexandria via LeMat-Bulk | PBE | optimized geometry
data_Cu2TcNi
_chemical_formula_sum 'Cu2 Tc1 Ni1'
_symmetry_space_group_name_H-M 'P 1'
_symmetry_Int_Tables_number 1
_cell_length_a 8.5295
_cell_length_b 8.5295
_cell_length_c 8.5295
_cell_angle_alpha 17.71
_cell_angle_beta 17.71
_cell_angle_gamma 17.71
loop_
_symmetry_equiv_pos_as_xyz
'x,y,z'
loop_
_atom_site_label
_atom_site_fract_x
_atom_site_fract_y
_atom_site_fract_z
_atom_site_occupancy
Tc1 0.7523 0.7523 0.7523 1
Ni1 0.5013 0.5013 0.5013 1
Cu1 0.9973 0.9973 0.9973 1
Cu2 0.2490 0.2490 0.2490 1
# - E_form (eV/atom) = 0.1401
# - relative energy among the computed polymorphs (meV per atom) = 89



No. 10
# LaSmI | Alexandria via LeMat-Bulk | PBE | optimized geometry
data_LaSmI
_chemical_formula_sum 'La1 Sm1 I1'
_symmetry_space_group_name_H-M 'P 1'
_symmetry_Int_Tables_number 1
_cell_length_a 3.7815
_cell_length_b 3.7815
_cell_length_c 7.7363
_cell_angle_alpha 104.15
_cell_angle_beta 104.15
_cell_angle_gamma 90.00
loop_
_symmetry_equiv_pos_as_xyz
'x,y,z'
loop_
_atom_site_label
_atom_site_fract_x
_atom_site_fract_y
_atom_site_fract_z
_atom_site_occupancy
I1 0.6632 0.6632 0.3264 1
La1 0.3289 0.3289 0.6578 1
Sm1 0.0079 0.0079 0.0157 1
# - relative energy among the computed polymorphs (meV per atom) = 75
# - E_form (uncorrected) (eV/atom) = -0.485



no.,D(E_F) (states/eV/f.u.)
1,2.83
2,21.31
3,13.41
4,12.36
5,4.33
6,5.40
7,2.53
8,6.74
9,4.36
10,4.40